! PBE Cd2HPtRh, optimized geometry; values from VASP
! Excess energy over the best structure of this formula in the dataset in meV/atom: 101
&SYSTEM
  ibrav = 0, nat = 5, ntyp = 4
/
ATOMIC_SPECIES
H 1.01 H.upf
Rh 102.91 Rh.upf
Pt 195.08 Pt.upf
Cd 112.41 Cd.upf
ATOMIC_POSITIONS crystal
H 0.000 0.000 0.000
Rh 0.500 0.500 0.500
Pt 0.000 0.000 0.500
Cd 0.000 0.500 0.000
Cd 0.500 0.000 0.000
CELL_PARAMETERS angstrom
-2.534 0.582 -3.759
2.997 -2.475 -2.404
-1.801 -2.921 0.762

=====

! PBE Rb2Pd7Pb12, optimized geometry; values from VASP
! VASP energy in eV/atom: -4.12
&SYSTEM
  ibrav = 0, nat = 21, ntyp = 3
/
ATOMIC_SPECIES
Rb 85.47 Rb.upf
Pd 106.42 Pd.upf
Pb 207.20 Pb.upf
ATOMIC_POSITIONS crystal
Rb 0.500 0.000 0.000
Rb 0.000 0.667 0.333
Pd 0.000 0.333 0.667
Pd 0.000 0.034 0.765
Pd 0.000 0.731 0.966
Pd 0.000 0.235 0.269
Pd 0.500 0.632 0.572
Pd 0.500 0.940 0.368
Pd 0.500 0.428 0.060
Pb 0.500 0.890 0.607
Pb 0.500 0.718 0.110
Pb 0.500 0.393 0.282
Pb 0.500 0.229 0.780
Pb 0.500 0.551 0.771
Pb 0.500 0.220 0.449
Pb 0.000 0.051 0.530
Pb 0.000 0.479 0.949
Pb 0.000 0.470 0.521
Pb 0.000 0.778 0.746
Pb 0.000 0.968 0.222
Pb 0.000 0.254 0.032
CELL_PARAMETERS angstrom
-1.154 -1.899 4.084
11.239 -2.725 1.908
-4.221 10.322 3.608

=====

! PBE SrCd2Au, optimized geometry; values from VASP
! VASP energy in eV/atom: -2.04
&SYSTEM
  ibrav = 0, nat = 4, ntyp = 3
/
ATOMIC_SPECIES
Au 196.97 Au.upf
Cd 112.41 Cd.upf
Sr 87.62 Sr.upf
ATOMIC_POSITIONS crystal
Au 0.500 0.750 0.750
Cd 0.000 0.861 0.979
Cd 0.000 0.639 0.521
Sr 0.500 0.250 0.250
CELL_PARAMETERS angstrom
4.923 0.000 0.000
0.000 4.081 0.032
0.000 1.164 5.558

=====

| no. | N(E_F) (states/eV per atom) | spin magnetization (μB per formula unit) |
| --- | --- | --- |
| 1 | 0.36 | 0.000 |
| 2 | 0.63 | 0.000 |
| 3 | 0.49 | 0.000 |